(1)
Crystalline Nd6DyCd5 at its relaxed geometry, computed with PBE-GGA.

Structure (POSCAR):
```
Nd6DyCd5
1.0
-4.949 -1.972 -1.155
1.525 0.651 -7.646
4.774 -6.999 4.359
Dy Nd Cd
1 6 5
Direct
0.000 0.000 0.000
0.829 0.573 0.658
0.829 0.085 0.658
0.500 0.733 0.000
0.500 0.267 0.000
0.171 0.915 0.342
0.171 0.427 0.342
0.655 0.155 0.310
0.332 0.332 0.663
0.000 0.500 0.000
0.668 0.668 0.337
0.345 0.845 0.690
```

Results
**Symmetry**: Immm
**DFT formation energy**: -227 meV/atom
**Calculated total energy**: -3.38 eV per atom


(2)
Crystalline NdDy5Cd3 at its relaxed geometry, computed with PBE-GGA.

Structure (POSCAR):
```
NdDy5Cd3
1.0
-6.669 -1.080 1.746
2.648 -6.209 6.276
-0.820 8.873 2.356
Nd Dy Cd
2 10 6
Direct
0.000 0.000 0.000
0.500 0.000 0.000
0.000 0.667 0.333
0.500 0.333 0.667
0.000 0.333 0.667
0.500 0.667 0.333
0.750 0.667 0.667
0.750 0.000 0.333
0.750 0.333 0.000
0.250 0.333 0.333
0.250 0.000 0.667
0.250 0.667 0.000
0.750 0.338 0.338
0.750 0.000 0.662
0.750 0.662 0.000
0.250 0.662 0.662
0.250 0.000 0.338
0.250 0.338 0.000
```

Results
**Symmetry**: P6_3/mcm
**DFT formation energy**: -174 meV/atom
**Calculated total energy**: -3.57 eV per atom


(3)
Crystalline NdDy4Cd2 at its relaxed geometry, computed with PBE-GGA.

Structure (POSCAR):
```
NdDy4Cd2
1.0
5.085 0.000 0.000
2.543 4.404 0.000
2.543 1.468 10.398
Nd Dy Cd
1 4 2
Direct
0.500 0.500 0.500
0.702 0.702 0.893
0.895 0.895 0.316
0.298 0.298 0.107
0.105 0.105 0.684
0.601 0.601 0.197
0.399 0.399 0.803
```

Results
**Symmetry**: R-3m
**DFT formation energy**: 210 meV/atom
**Calculated total energy**: -3.36 eV per atom


(4)
Crystalline Nd4Dy2Cd at its relaxed geometry, computed with PBE-GGA.

Structure (POSCAR):
```
Nd4Dy2Cd
1.0
-1.188 3.126 1.239
-6.040 -4.133 4.636
8.020 -0.202 3.066
Nd Dy Cd
4 2 1
Direct
0.917 0.296 0.834
0.083 0.704 0.166
0.631 0.389 0.262
0.369 0.611 0.738
0.783 0.861 0.566
0.217 0.139 0.434
0.000 0.000 0.000
```

Results
**Symmetry**: C2/m
**DFT formation energy**: 28 meV/atom
**Calculated total energy**: -4.14 eV per atom


(5)
Crystalline Nd3DyCd6 at its relaxed geometry, computed with PBE-GGA.

Structure (POSCAR):
```
Nd3DyCd6
1.0
5.220 0.000 0.000
0.000 9.051 -2.648
0.000 0.272 11.204
Nd Dy Cd
6 2 12
Direct
0.250 0.526 0.392
0.750 0.474 0.608
0.250 0.347 0.781
0.750 0.653 0.219
0.250 0.763 0.003
0.750 0.237 0.997
0.250 0.946 0.603
0.750 0.054 0.397
0.250 0.451 0.088
0.750 0.549 0.912
0.250 0.147 0.186
0.750 0.853 0.814
0.250 0.671 0.707
0.750 0.329 0.293
0.250 0.230 0.483
0.750 0.770 0.517
0.250 0.867 0.307
0.750 0.133 0.693
0.250 0.048 0.891
0.750 0.952 0.109
```

Results
**Symmetry**: P2_1/m
**DFT formation energy**: -293 meV/atom
**Calculated total energy**: -2.73 eV per atom


(6)
Crystalline Nd4Dy5Cd at its relaxed geometry, computed with PBE-GGA.

Structure (POSCAR):
```
Nd4Dy5Cd
1.0
3.623 0.000 0.000
0.000 3.623 0.000
0.000 0.000 24.318
Nd Dy Cd
4 5 1
Direct
0.000 0.000 0.187
0.000 0.000 0.396
0.000 0.000 0.604
0.000 0.000 0.813
0.500 0.500 0.083
0.500 0.500 0.291
0.500 0.500 0.500
0.500 0.500 0.709
0.500 0.500 0.917
0.000 0.000 0.000
```

Results
**Energy above the most stable polymorph in this dataset**: 0.000 eV/atom
**Symmetry**: P4/mmm
**DFT formation energy**: -49 meV/atom
**Calculated total energy**: -4.35 eV per atom


(7)
Crystalline Nd2DyCd at its relaxed geometry, computed with PBE-GGA.

Structure (POSCAR):
```
Nd2DyCd
1.0
-2.438 -4.989 -0.325
-1.326 -2.756 4.647
-5.336 -0.588 1.458
Cd Nd Dy
1 2 1
Direct
0.500 0.500 0.500
0.250 0.250 0.250
0.750 0.750 0.750
0.000 0.000 0.000
```

Results
**Energy above the most stable polymorph in this dataset**: 0.094 eV/atom
**Symmetry**: Fm-3m
**DFT formation energy**: -43 meV/atom
**Calculated total energy**: -3.81 eV per atom


(8)
Crystalline NdDy2Cd at its relaxed geometry, computed with PBE-GGA.

Structure (POSCAR):
```
NdDy2Cd
1.0
-1.259 3.323 -0.722
-3.574 0.589 -0.160
-1.712 3.565 10.294
Nd Dy Cd
1 2 1
Direct
0.500 0.500 0.500
0.076 0.076 0.772
0.258 0.258 0.227
0.667 0.667 0.000
```

Results
**Energy above the most stable polymorph in this dataset**: 0.090 eV/atom
**Symmetry**: R3m
**DFT formation energy**: -57 meV/atom
**Calculated total energy**: -3.78 eV per atom


(9)
Crystalline NdDy2Cd at its relaxed geometry, computed with PBE-GGA.

Structure (POSCAR):
```
NdDy2Cd
1.0
5.486 0.000 0.000
2.743 4.751 0.000
2.743 1.584 4.479
Cd Nd Dy
1 1 2
Direct
0.500 0.500 0.500
0.000 0.000 0.000
0.250 0.250 0.250
0.750 0.750 0.750
```

Results
**Energy above the most stable polymorph in this dataset**: 0.161 eV/atom
**Symmetry**: Fm-3m
**DFT formation energy**: 14 meV/atom
**Calculated total energy**: -3.71 eV per atom


(10)
Crystalline Nd12Dy5Cd2 at its relaxed geometry, computed with PBE-GGA.

Structure (POSCAR):
```
Nd12Dy5Cd2
1.0
9.292 0.000 0.000
-4.646 7.773 1.094
0.000 -1.646 8.448
Nd Dy Cd
12 5 2
Direct
0.919 0.839 0.117
0.037 0.704 0.765
0.667 0.704 0.765
0.179 0.748 0.326
0.569 0.748 0.326
0.442 0.883 0.670
0.558 0.117 0.330
0.821 0.252 0.674
0.431 0.252 0.674
0.963 0.296 0.235
0.333 0.296 0.235
0.081 0.161 0.883
0.232 0.464 0.576
0.304 0.608 0.980
0.000 0.000 0.500
0.696 0.392 0.020
0.768 0.536 0.424
0.669 0.000 0.000
0.331 0.000 0.000
```

Results
**Symmetry**: C2/m
**DFT formation energy**: 39 meV/atom
**Calculated total energy**: -4.28 eV per atom


(11)
Crystalline NdDyCd4 at its relaxed geometry, computed with PBE-GGA.

Structure (POSCAR):
```
NdDyCd4
1.0
3.275 1.064 -0.024
1.724 5.852 0.064
0.105 -0.127 8.717
Nd Dy Cd
1 1 4
Direct
0.501 0.497 0.998
0.001 0.997 0.498
0.502 0.997 0.169
0.501 0.997 0.827
0.002 0.497 0.661
0.001 0.497 0.335
```

Results
**Energy above the most stable polymorph in this dataset**: 0.000 eV/atom
**Symmetry**: Pmmm
**DFT formation energy**: -328 meV/atom
**Calculated total energy**: -2.50 eV per atom


(12)
Crystalline Nd12DyCd6 at its relaxed geometry, computed with PBE-GGA.

Structure (POSCAR):
```
Nd12DyCd6
1.0
8.263 0.734 0.879
-0.528 8.279 0.879
-0.528 -0.615 8.302
Nd Dy Cd
12 1 6
Direct
0.808 0.532 0.431
0.431 0.808 0.532
0.532 0.431 0.808
0.192 0.468 0.569
0.569 0.192 0.468
0.468 0.569 0.192
0.045 0.154 0.385
0.846 0.615 0.955
0.615 0.955 0.846
0.955 0.846 0.615
0.154 0.385 0.045
0.385 0.045 0.154
0.000 0.000 0.000
0.738 0.886 0.259
0.741 0.262 0.114
0.114 0.741 0.262
0.262 0.114 0.741
0.259 0.738 0.886
0.886 0.259 0.738
```

Results
**Symmetry**: R-3
**DFT formation energy**: -105 meV/atom
**Calculated total energy**: -3.65 eV per atom